Here is a relaxed Ca2LaPt2 crystal from the Alexandria database. Energies are from PBE.

a b c (Å): 8.566 8.566 3.233
angles (deg): 90.00 90.00 90.00
Space group P4/mbm (No. 127)
Inequivalent atoms, fractional coordinates:
Ca 0.128 0.372 0.000 [4 per cell]
La 0.000 0.000 0.000 [2 per cell]
Pt 0.171 0.671 0.500 [4 per cell]

## Properties
Formation energy ... -311 kJ/mol of formula units
DOS at the Fermi energy ... 0.60 states/eV per atom
Density ... 8.529 g/cm3
Polymorph energy (0 for the lowest one) ... 278.8 meV/atom